The following is a DFT calculation (GGA-PBE) of a relaxed Rb3ZrSc2Te6 crystal.

Geometry as POSCAR:
```
Rb3ZrSc2Te6
1.0
3.720 -6.444 0.000
3.720 6.444 0.000
-2.480 0.000 8.559
Rb Zr Sc Te
3 1 2 6
Direct
0.000 0.000 0.000
0.333 0.667 0.000
0.667 0.333 0.000
0.500 0.500 0.500
0.167 0.833 0.500
0.833 0.167 0.500
0.103 0.436 0.308
0.232 0.232 0.692
0.436 0.103 0.308
0.564 0.897 0.692
0.768 0.768 0.308
0.897 0.564 0.692
```

Properties
* uncorrected formation energy: -1.13 eV/atom
* VASP energy: -4.708 eV/atom
* symmetry: C2/m

=====

The following is a DFT calculation (GGA-PBE) of a relaxed SrMgRe2 crystal.

Geometry as POSCAR:
```
SrMgRe2
1.0
1.435 0.828 10.317
-1.435 0.828 10.317
0.000 -1.657 10.317
Sr Mg Re
1 1 2
Direct
0.000 0.000 0.000
0.500 0.500 0.500
0.242 0.242 0.242
0.758 0.758 0.758
```

Properties
* VASP energy: -6.109 eV/atom
* symmetry: R-3m
* formation energy: 0.93 eV/atom

=====

The following is a DFT calculation (GGA-PBE) of a relaxed AcGdTlIr crystal.

Geometry as POSCAR:
```
AcGdTlIr
1.0
0.000 3.786 3.786
3.786 0.000 3.786
3.786 3.786 0.000
Ac Gd Tl Ir
1 1 1 1
Direct
0.000 0.000 0.000
0.500 0.500 0.500
0.250 0.250 0.250
0.750 0.750 0.750
```

Properties
* VASP energy: -7.671 eV/atom
* symmetry: F-43m
* formation energy: -0.32 eV/atom

=====

The following is a DFT calculation (GGA-PBE) of a relaxed Cs2PtN2 crystal.

Geometry as POSCAR:
```
Cs2PtN2
1.0
4.589 -2.661 0.000
4.589 2.661 0.000
-0.057 0.000 8.474
Cs Pt N
2 1 2
Direct
0.166 0.166 0.321
0.834 0.834 0.679
0.500 0.500 0.500
0.449 0.449 0.036
0.551 0.551 0.964
```

Properties
* uncorrected formation energy: 0.00 eV/atom
* VASP energy: -4.876 eV/atom
* symmetry: C2/m

=====

The following is a DFT calculation (GGA-PBE) of a relaxed Mg2IrCl crystal.

Geometry as POSCAR:
```
Mg2IrCl
1.0
5.033 -1.572 0.000
5.033 1.572 0.000
-0.013 0.000 4.424
Mg Ir Cl
2 1 1
Direct
0.000 0.000 0.000
0.716 0.716 0.506
0.263 0.263 0.006
0.462 0.462 0.501
```

Properties
* uncorrected formation energy: -0.42 eV/atom
* VASP energy: -3.899 eV/atom
* symmetry: Cm

=====

The following is a DFT calculation (GGA-PBE) of a relaxed Zr2SnIr crystal.

Geometry as POSCAR:
```
Zr2SnIr
1.0
-2.101 2.101 9.881
2.101 -2.101 9.881
2.101 2.101 -9.881
Zr Sn Ir
4 2 2
Direct
0.124 0.625 0.999
0.375 0.374 0.499
0.626 0.125 0.001
0.875 0.876 0.501
0.250 0.750 0.500
0.500 0.500 0.000
0.000 0.000 0.000
0.750 0.250 0.500
```

Properties
* VASP energy: -7.389 eV/atom
* symmetry: I-42d
* formation energy: 0.10 eV/atom

=====

The following is a DFT calculation (GGA-PBE) of a relaxed Na2HfCl crystal.

Geometry as POSCAR:
```
Na2HfCl
1.0
0.000 3.913 3.913
3.913 0.000 3.913
3.913 3.913 0.000
Na Hf Cl
2 1 1
Direct
0.250 0.250 0.250
0.750 0.750 0.750
0.000 0.000 0.000
0.500 0.500 0.500
```

Properties
* uncorrected formation energy: 0.62 eV/atom
* VASP energy: -2.991 eV/atom
* symmetry: Fm-3m

=====

The following is a DFT calculation (GGA-PBE) of a relaxed LiNd2Sm3Te6 crystal.

Geometry as POSCAR:
```
LiNd2Sm3Te6
1.0
9.689 -2.220 0.000
9.689 2.220 0.000
-2.041 0.000 8.652
Li Nd Sm Te
1 2 3 6
Direct
0.000 0.000 0.000
0.331 0.331 0.661
0.669 0.669 0.339
0.000 0.000 0.500
0.331 0.331 0.168
0.669 0.669 0.832
0.161 0.161 0.077
0.164 0.164 0.586
0.499 0.499 0.240
0.501 0.501 0.760
0.836 0.836 0.414
0.839 0.839 0.923
```

Properties
* uncorrected formation energy: -1.38 eV/atom
* VASP energy: -5.090 eV/atom
* symmetry: C2/m

=====

The following is a DFT calculation (GGA-PBE) of a relaxed CdCuPt crystal.

Geometry as POSCAR:
```
CdCuPt
1.0
0.000 3.001 3.001
3.001 0.000 3.001
3.001 3.001 0.000
Cd Cu Pt
1 1 1
Direct
0.000 0.000 0.000
0.750 0.750 0.750
0.500 0.500 0.500
```

Properties
* VASP energy: -3.666 eV/atom
* symmetry: F-43m
* formation energy: 0.02 eV/atom

=====

The following is a DFT calculation (GGA-PBE) of a relaxed Pr4MgZnHg2 crystal.

Geometry as POSCAR:
```
Pr4MgZnHg2
1.0
2.716 1.568 8.852
-2.716 1.568 8.852
0.000 -3.136 8.852
Pr Mg Zn Hg
4 1 1 2
Direct
0.118 0.118 0.118
0.369 0.369 0.369
0.631 0.631 0.631
0.882 0.882 0.882
0.500 0.500 0.500
0.000 0.000 0.000
0.241 0.241 0.241
0.759 0.759 0.759
```

Properties
* VASP energy: -3.155 eV/atom
* symmetry: R-3m
* formation energy: -0.33 eV/atom

=====

The following is a DFT calculation (GGA-PBE) of a relaxed AcTb2OsN4 crystal.

Geometry as POSCAR:
```
AcTb2OsN4
1.0
1.765 -6.002 0.000
1.765 6.002 0.000
0.000 0.000 11.834
Ac Tb Os N
2 4 2 8
Direct
0.103 0.897 0.750
0.897 0.103 0.250
0.368 0.632 0.542
0.368 0.632 0.958
0.632 0.368 0.042
0.632 0.368 0.458
0.157 0.843 0.250
0.843 0.157 0.750
0.000 0.000 0.000
0.000 0.000 0.500
0.264 0.736 0.122
0.264 0.736 0.378
0.424 0.576 0.750
0.576 0.424 0.250
0.736 0.264 0.622
0.736 0.264 0.878
```

Properties
* uncorrected formation energy: -0.92 eV/atom
* VASP energy: -8.153 eV/atom
* symmetry: Cmcm

=====

The following is a DFT calculation (GGA-PBE) of a relaxed USCl crystal.

Geometry as POSCAR:
```
USCl
1.0
5.458 0.000 0.000
0.000 2.228 4.162
0.000 -2.228 4.162
U S Cl
1 1 1
Direct
0.000 0.000 0.000
0.000 0.676 0.676
0.500 0.984 0.984
```

Properties
* uncorrected formation energy: -1.21 eV/atom
* VASP energy: -6.963 eV/atom
* symmetry: Amm2

=====

The following is a DFT calculation (GGA-PBE) of a relaxed TbPm3Er2Te6 crystal.

Geometry as POSCAR:
```
TbPm3Er2Te6
1.0
9.644 -2.180 0.000
9.644 2.180 0.000
-2.239 0.000 8.606
Tb Pm Er Te
1 3 2 6
Direct
0.000 0.000 0.000
0.000 0.000 0.500
0.336 0.336 0.168
0.664 0.664 0.832
0.334 0.334 0.670
0.666 0.666 0.330
0.166 0.166 0.090
0.170 0.170 0.575
0.496 0.496 0.754
0.504 0.504 0.246
0.830 0.830 0.425
0.834 0.834 0.910
```

Properties
* uncorrected formation energy: -1.33 eV/atom
* VASP energy: -5.235 eV/atom
* symmetry: C2/m

=====

The following is a DFT calculation (GGA-PBE) of a relaxed Na12In6Sn crystal.

Geometry as POSCAR:
```
Na12In6Sn
1.0
5.763 3.327 4.894
-5.763 3.327 4.894
0.000 -6.655 4.894
Na In Sn
12 6 1
Direct
0.023 0.923 0.309
0.077 0.691 0.977
0.123 0.463 0.353
0.309 0.023 0.923
0.353 0.123 0.463
0.463 0.353 0.123
0.537 0.647 0.877
0.647 0.877 0.537
0.691 0.977 0.077
0.877 0.537 0.647
0.923 0.309 0.023
0.977 0.077 0.691
0.238 0.386 0.761
0.239 0.762 0.614
0.386 0.761 0.238
0.614 0.239 0.762
0.761 0.238 0.386
0.762 0.614 0.239
0.500 0.500 0.500
```

Properties
* VASP energy: -1.995 eV/atom
* symmetry: R-3
* formation energy: -0.09 eV/atom

=====

The following is a DFT calculation (GGA-PBE) of a relaxed Pr6DyY3 crystal.

Geometry as POSCAR:
```
Pr6DyY3
1.0
5.597 -9.809 0.000
5.597 9.809 0.000
0.000 0.000 6.356
Pr Dy Y
12 2 6
Direct
0.039 0.961 0.500
0.057 0.477 0.041
0.280 0.720 0.760
0.290 0.374 0.865
0.374 0.290 0.365
0.477 0.057 0.541
0.523 0.943 0.041
0.626 0.710 0.865
0.710 0.626 0.365
0.720 0.280 0.260
0.943 0.523 0.541
0.961 0.039 0.000
0.199 0.801 0.290
0.801 0.199 0.790
0.055 0.282 0.441
0.282 0.055 0.941
0.385 0.615 0.329
0.615 0.385 0.829
0.718 0.945 0.441
0.945 0.718 0.941
```

Properties
* VASP energy: -5.135 eV/atom
* symmetry: Cmc2_1
* formation energy: 0.13 eV/atom

=====

The following is a DFT calculation (GGA-PBE) of a relaxed TbHgS2O8 crystal.

Geometry as POSCAR:
```
TbHgS2O8
1.0
4.587 -2.807 0.000
4.587 2.807 0.000
-0.812 0.000 8.280
Tb Hg S O
1 1 2 8
Direct
0.000 0.000 0.000
0.000 0.000 0.500
0.331 0.331 0.780
0.669 0.669 0.220
0.209 0.640 0.815
0.214 0.214 0.893
0.270 0.270 0.610
0.360 0.791 0.185
0.640 0.209 0.815
0.730 0.730 0.390
0.786 0.786 0.107
0.791 0.360 0.185
```

Properties
* uncorrected formation energy: -1.70 eV/atom
* VASP energy: -6.108 eV/atom
* symmetry: C2/m

=====

The following is a DFT calculation (GGA-PBE) of a relaxed CaYI2O crystal.

Geometry as POSCAR:
```
CaYI2O
1.0
6.284 0.000 0.000
0.000 6.284 0.000
0.000 0.000 4.183
Ca Y I O
1 1 2 1
Direct
0.000 0.000 0.000
0.500 0.500 0.500
0.000 0.500 0.500
0.500 0.000 0.500
0.500 0.500 0.000
```

Properties
* uncorrected formation energy: -1.55 eV/atom
* VASP energy: -4.857 eV/atom
* symmetry: P4/mmm

=====

The following is a DFT calculation (GGA-PBE) of a relaxed Ag2PtF8 crystal.

Geometry as POSCAR:
```
Ag2PtF8
1.0
4.965 -3.779 0.000
4.965 3.779 0.000
-0.183 0.000 4.434
Ag Pt F
2 1 8
Direct
0.125 0.125 0.273
0.875 0.875 0.727
0.500 0.500 0.500
0.105 0.105 0.771
0.220 0.587 0.714
0.345 0.345 0.212
0.413 0.780 0.286
0.587 0.220 0.714
0.655 0.655 0.788
0.780 0.413 0.286
0.895 0.895 0.229
```

Properties
* uncorrected formation energy: -1.21 eV/atom
* VASP energy: -3.643 eV/atom
* symmetry: C2/m

=====

The following is a DFT calculation (GGA-PBE) of a relaxed Ce2LuSn crystal.

Geometry as POSCAR:
```
Ce2LuSn
1.0
1.680 0.970 12.147
-1.680 0.970 12.147
0.000 -1.940 12.147
Ce Lu Sn
2 1 1
Direct
0.088 0.088 0.088
0.912 0.912 0.912
0.500 0.500 0.500
0.000 0.000 0.000
```

Properties
* VASP energy: -4.961 eV/atom
* symmetry: R-3m
* formation energy: 0.14 eV/atom

=====

The following is a DFT calculation (GGA-PBE) of a relaxed CeHoGe3 crystal.

Geometry as POSCAR:
```
CeHoGe3
1.0
2.107 -13.412 0.000
2.107 13.412 0.000
0.000 0.000 3.999
Ce Ho Ge
2 2 6
Direct
0.074 0.926 0.750
0.926 0.074 0.250
0.204 0.796 0.250
0.796 0.204 0.750
0.314 0.686 0.250
0.376 0.624 0.750
0.472 0.528 0.750
0.528 0.472 0.250
0.624 0.376 0.250
0.686 0.314 0.750
```

Properties
* VASP energy: -5.553 eV/atom
* symmetry: Cmcm
* formation energy: -0.68 eV/atom